# Na2AgBi2Pd5

A geometry-optimized Na2AgBi2Pd5 structure (PBE, Alexandria via LeMat-Bulk).

Lattice parameters (Å, degrees): 10.5439 10.5439 3.7257 90.00 90.00 90.00
Fractional coordinates of all 20 atoms:
Na 0.1653 0.3347 0.0000
Na 0.3347 0.8347 0.0000
Na 0.6653 0.1653 0.0000
Na 0.8347 0.6653 0.0000
Ag 0.0000 0.0000 0.0000
Ag 0.5000 0.5000 0.0000
Bi 0.1382 0.6382 0.0000
Bi 0.3618 0.1382 0.0000
Bi 0.6382 0.8618 0.0000
Bi 0.8618 0.3618 0.0000
Pd 0.0000 0.5000 0.5000
Pd 0.0453 0.8085 0.5000
Pd 0.1915 0.0453 0.5000
Pd 0.3085 0.5453 0.5000
Pd 0.4547 0.3085 0.5000
Pd 0.5000 0.0000 0.5000
Pd 0.5453 0.6915 0.5000
Pd 0.6915 0.4547 0.5000
Pd 0.8085 0.9547 0.5000
Pd 0.9547 0.1915 0.5000

Computed properties:
- formation enthalpy at 0 K (eV per atom) = -0.14
- uncorrected energy (eV/atom) = -4.062
- N(E_F) (states/eV per cell) = 10.94
- crystal system = tetragonal